ZnMo3P: relaxed, PBE.

## Properties
For the density of states at the Fermi level, the calculation gives 1.740 states/eV/atom. The symmetry is No. 221. For the distance to the lowest polymorph of the same formula, the calculation gives 0 meV/atom. As for the crystal system: cubic.

a = 4.454 Å, b = 4.454 Å, c = 4.454 Å
α = 90.00°, β = 90.00°, γ = 90.00°
Element x y z (fractional)
P 0.000 0.000 0.000
Mo 0.000 0.500 0.000
Mo 0.000 0.000 0.500
Mo 0.500 0.000 0.000
Zn 0.500 0.500 0.500


Zn2MoP: relaxed, PBE.

## Properties
For the density of states at the Fermi level, the calculation gives 0.424 states/eV/atom. The symmetry is No. 12. As for the crystal system: monoclinic.

a = 6.755 Å, b = 6.755 Å, c = 3.919 Å
α = 73.24°, β = 73.24°, γ = 23.43°
Element x y z (fractional)
Zn 0.195 0.195 0.803
Zn 0.805 0.805 0.197
Mo 0.500 0.500 0.000
P 0.000 0.000 0.500


ZnMo2P2: relaxed, PBE.

## Properties
For the density of states at the Fermi level, the calculation gives 0.935 states/eV/atom. The symmetry is No. 127. For the distance to the lowest polymorph of the same formula, the calculation gives 61 meV/atom. As for the crystal system: tetragonal.

a = 6.891 Å, b = 6.891 Å, c = 3.021 Å
α = 90.00°, β = 90.00°, γ = 90.00°
Element x y z (fractional)
P 0.358 0.858 0.000
P 0.858 0.642 0.000
P 0.642 0.142 0.000
P 0.142 0.358 0.000
Mo 0.153 0.653 0.500
Mo 0.653 0.847 0.500
Mo 0.847 0.347 0.500
Mo 0.347 0.153 0.500
Zn 0.000 0.000 0.000
Zn 0.500 0.500 0.000


Zn2MoP: relaxed, PBE.

## Properties
For the density of states at the Fermi level, the calculation gives 0.655 states/eV/atom. The symmetry is No. 65. As for the crystal system: orthorhombic.

a = 2.726 Å, b = 2.726 Å, c = 8.352 Å
α = 90.00°, β = 90.00°, γ = 102.82°
Element x y z (fractional)
Zn 0.000 0.000 0.250
Zn 0.000 0.000 0.750
Mo 0.500 0.500 0.500
P 0.500 0.500 0.000


Zn2MoP: relaxed, PBE.

## Properties
For the density of states at the Fermi level, the calculation gives 0.447 states/eV/atom. The symmetry is No. 139. As for the crystal system: tetragonal.

a = 5.187 Å, b = 5.187 Å, c = 5.187 Å
α = 139.97°, β = 139.97°, γ = 57.91°
Element x y z (fractional)
Zn 0.750 0.250 0.500
Zn 0.250 0.750 0.500
Mo 0.500 0.500 0.000
P 0.000 0.000 0.000


Zn2MoP: relaxed, PBE.

## Properties
For the density of states at the Fermi level, the calculation gives 0.313 states/eV/atom. The symmetry is No. 35. As for the crystal system: orthorhombic.

a = 2.800 Å, b = 2.800 Å, c = 8.550 Å
α = 90.00°, β = 90.00°, γ = 108.06°
Element x y z (fractional)
Zn 0.000 0.000 0.991
Zn 0.500 0.500 0.741
Mo 0.000 0.000 0.487
P 0.500 0.500 0.282


| no. | DFT formation energy (eV per atom) | uncorrected energy (eV/cell) |
| --- | --- | --- |
| 1 | 0.61 | -36.131 |
| 2 | 0.08 | -18.479 |
| 3 | -0.15 | -69.058 |
| 4 | 0.28 | -17.688 |
| 5 | 0.02 | -18.690 |
| 6 | 0.15 | -18.189 |